Record 1
## Rb2NaAs (GGA-PBE)

Data for a relaxed Rb2NaAs crystal.

a b c (Å): 5.2814 5.2814 20.7021
angles (deg): 90.00 90.00 120.00
Last column: nearest neighbours and their distance in Å.
Space group R3m (No. 160, hexagonal axes)
Inequivalent atoms, fractional coordinates:
Rb 0.0000 0.0000 0.0000 [3 per cell]  3 As 3.64, 3 Na 3.64, 1 Rb 3.90
Rb 0.0000 0.0000 0.1883 [3 per cell]  3 Na 3.60, 3 As 3.60, 1 Rb 3.90
Na 0.0000 0.0000 0.4295 [3 per cell]  3 As 3.05
As 0.0000 0.0000 0.7627 [3 per cell]  3 Na 3.05

Summary:
energy of formation from the pure elements: -0.2991 eV per atom
density: 2.7 g/cm3

Record 2
## RbNaAs3 (GGA-PBE)

Data for a relaxed RbNaAs3 crystal.

a b c (Å): 17.0213 4.4514 9.7760
angles (deg): 90.00 119.66 90.00
Last column: nearest neighbours and their distance in Å.
Space group C2/m (No. 12)
Inequivalent atoms, fractional coordinates:
Rb 0.1293 0.0000 0.0997 [4 per cell]  8 As 3.57-3.82, 1 Rb 3.83, 1 Na 3.92
Na 0.1082 0.5000 0.6225 [4 per cell]  3 As 2.94-3.04, 1 Na 3.25
As 0.0068 0.5000 0.2312 [4 per cell]  2 As 2.56
As 0.0537 0.0000 0.3809 [4 per cell]  3 As 2.56-2.59
As 0.2284 0.0000 0.5434 [4 per cell]  3 As 2.59-2.61

Summary:
energy of formation from the pure elements: -0.2235 eV per atom
excess energy over the best structure of this formula in the dataset: 0.0 meV/atom
density: 3.4 g/cm3

Record 3
## Rb4NaAs2 (GGA-PBE)

Data for a relaxed Rb4NaAs2 crystal.

a b c (Å): 6.0153 6.0153 31.4914
angles (deg): 90.00 90.00 120.00
Last column: nearest neighbours and their distance in Å.
Space group R-3m (No. 166, hexagonal axes)
Inequivalent atoms, fractional coordinates:
Rb 0.0000 0.0000 0.1027 [6 per cell]  3 As 3.57
Rb 0.0000 0.0000 0.2959 [6 per cell]  4 As 3.58-3.68
Na 0.0000 0.0000 0.5000 [3 per cell]  2 As 2.84
As 0.0000 0.0000 0.4098 [6 per cell]  1 Na 2.84

Summary:
energy of formation from the pure elements: -0.2424 eV per atom
density: 2.6 g/cm3

Record 4
## RbNaAs2Rh (GGA-PBE)

Data for a relaxed RbNaAs2Rh crystal.

a b c (Å): 5.7816 5.7816 5.0180
angles (deg): 90.00 90.00 90.00
Last column: nearest neighbours and their distance in Å.
Space group P4/mmm (No. 123)
Inequivalent atoms, fractional coordinates:
Rb 0.0000 0.0000 0.0000 [1 per cell]  2 Rh 2.51
Na 0.5000 0.5000 0.5000 [1 per cell]  8 As 3.83, 4 Rh 4.09
As 0.0000 0.5000 0.0000 [2 per cell]  2 Rb 2.89
Rh 0.0000 0.0000 0.5000 [1 per cell]  2 Rb 2.51

Summary:
energy of formation from the pure elements: 1.4910 eV per atom
density: 3.6 g/cm3

Record 5
## RbNaAsRh2 (GGA-PBE)

Data for a relaxed RbNaAsRh2 crystal.

a b c (Å): 4.9523 4.9523 4.9917
angles (deg): 90.00 90.00 90.00
Last column: nearest neighbours and their distance in Å.
Space group P4/mmm (No. 123)
Inequivalent atoms, fractional coordinates:
Rb 0.0000 0.0000 0.0000 [1 per cell]  4 As 3.50, 8 Rh 3.52
Na 0.5000 0.5000 0.5000 [1 per cell]  4 Rh 2.48, 2 As 2.50
As 0.5000 0.5000 0.0000 [1 per cell]  2 Na 2.50
Rh 0.0000 0.5000 0.5000 [2 per cell]  2 Na 2.48

Summary:
energy of formation from the pure elements: 1.1982 eV per atom
density: 5.3 g/cm3

Record 6
## Rb2NaAs2Se6 (GGA-PBE)

Data for a relaxed Rb2NaAs2Se6 crystal.

a b c (Å): 13.5694 6.9246 9.0112
angles (deg): 90.00 118.51 90.00
Last column: nearest neighbours and their distance in Å.
Space group C2/m (No. 12)
Inequivalent atoms, fractional coordinates:
Rb 0.2138 0.0000 0.2296 [4 per cell]  9 Se 3.55-3.97
Na 0.0000 0.0000 0.5000 [2 per cell]  4 Se 2.98
As 0.0263 0.5000 0.1589 [4 per cell]  3 Se 2.30-2.36
Se 0.0680 0.2257 0.8160 [8 per cell]  1 As 2.36
Se 0.2182 0.5000 0.3210 [4 per cell]  1 As 2.30

Summary:
raw formation energy: -0.510 eV/atom
density: 3.6 g/cm3

Record 7
## RbNaAsSe2 (GGA-PBE)

Data for a relaxed RbNaAsSe2 crystal.

a b c (Å): 6.4722 13.2760 6.5399
angles (deg): 90.00 90.00 90.00
Last column: nearest neighbours and their distance in Å.
Space group Cmme (No. 67)
Inequivalent atoms, fractional coordinates:
Rb 0.0000 0.2500 0.2319 [4 per cell]  8 Se 3.50-3.58, 2 As 3.65
Na 0.2500 0.0000 0.5000 [4 per cell]  4 Se 2.98, 2 Na 3.24
As 0.0000 0.0000 0.0000 [4 per cell]  2 Se 2.61
Se 0.0000 0.1478 0.7380 [8 per cell]  1 As 2.61, 1 Se 2.71

Summary:
raw formation energy: -0.517 eV/atom
excess energy over the best structure of this formula in the dataset: 0.0 meV/atom
density: 4.0 g/cm3

Record 8
## RbNa2AsSe4 (GGA-PBE)

Data for a relaxed RbNa2AsSe4 crystal.

a b c (Å): 13.2401 9.3912 10.8368
angles (deg): 90.00 127.37 90.00
Last column: nearest neighbours and their distance in Å.
Space group C2/c (No. 15)
Inequivalent atoms, fractional coordinates:
Rb 0.0000 0.0000 0.0000 [4 per cell]  6 Se 3.47-3.81
Na 0.0000 0.5000 0.0000 [4 per cell]  4 Se 2.90-3.08
Na 0.2500 0.2500 0.0000 [4 per cell]  4 Se 2.75-2.95
As 0.2500 0.2500 0.5000 [4 per cell]  4 Se 2.55-2.80
Se 0.1664 0.4752 0.3352 [8 per cell]  1 As 2.55, 1 Se 2.65
Se 0.2264 0.3074 0.7351 [8 per cell]  1 Se 2.65, 1 Na 2.75, 1 As 2.80

Summary:
raw formation energy: -0.452 eV/atom
density: 3.2 g/cm3

Record 9
## RbNaAsSe2 (GGA-PBE)

Data for a relaxed RbNaAsSe2 crystal.

a b c (Å): 5.4140 5.4140 5.2036
angles (deg): 90.00 90.00 90.00
Last column: nearest neighbours and their distance in Å.
Space group P4/mmm (No. 123)
Inequivalent atoms, fractional coordinates:
Rb 0.0000 0.0000 0.0000 [1 per cell]  8 Se 3.75, 4 As 3.83
Na 0.5000 0.5000 0.5000 [1 per cell]  2 As 2.60, 4 Se 2.71
As 0.5000 0.5000 0.0000 [1 per cell]  2 Na 2.60
Se 0.0000 0.5000 0.5000 [2 per cell]  2 Na 2.71

Summary:
raw formation energy: 0.138 eV/atom
excess energy over the best structure of this formula in the dataset: 655.5 meV/atom
density: 3.7 g/cm3

Record 10
## Rb2NaAsSe (GGA-PBE)

Data for a relaxed Rb2NaAsSe crystal.

a b c (Å): 6.8938 6.8938 5.0764
angles (deg): 90.00 90.00 90.00
Last column: nearest neighbours and their distance in Å.
Space group P4/mmm (No. 123)
Inequivalent atoms, fractional coordinates:
Rb 0.0000 0.5000 0.0000 [2 per cell]  2 As 3.45
Na 0.0000 0.0000 0.5000 [1 per cell]  8 Rb 4.28
As 0.5000 0.5000 0.0000 [1 per cell]  2 Se 2.54
Se 0.5000 0.5000 0.5000 [1 per cell]  2 As 2.54

Summary:
raw formation energy: -0.134 eV/atom
density: 2.4 g/cm3